Entry 1:
# CaSmLuMg

A geometry-optimized CaSmLuMg structure (GGA-PBE, Alexandria via LeMat-Bulk).

Summary:
Spin magnetization = 0.00 μB per atom
Crystal system = cubic
Energy relative to the elements = 0.0757 eV per atom
Density = 5.2 g/cm3

```
data_CaSmLuMg
_cell_length_a 7.926
_cell_length_b 7.926
_cell_length_c 7.926
_cell_angle_alpha 90.00
_cell_angle_beta 90.00
_cell_angle_gamma 90.00
_symmetry_space_group_name_H-M 'F -4 3 m'
_symmetry_Int_Tables_number 216
_symmetry_space_group_name_Hall 'F -4 2 3'
loop_
_atom_site_label
_atom_site_fract_x
_atom_site_fract_y
_atom_site_fract_z
Ca1 0.000 0.000 0.000
Sm1 0.000 0.000 0.500
Lu1 0.250 0.250 0.250
Mg1 0.250 0.250 0.750
```

Entry 2:
# Rb3Ca2TaO6

A geometry-optimized Rb3Ca2TaO6 structure (GGA-PBE, Alexandria via LeMat-Bulk).

Summary:
Energy relative to the elements, uncorrected = -2.40 eV per atom
Spin magnetization = 0.00 μB per atom
Crystal system = monoclinic
Density = 5.1 g/cm3

```
data_Rb3Ca2TaO6
_cell_length_a 5.956
_cell_length_b 10.313
_cell_length_c 6.747
_cell_angle_alpha 90.00
_cell_angle_beta 107.03
_cell_angle_gamma 90.00
_symmetry_space_group_name_H-M 'C 1 2/m 1'
_symmetry_Int_Tables_number 12
_symmetry_space_group_name_Hall '-C 2y'
loop_
_atom_site_label
_atom_site_fract_x
_atom_site_fract_y
_atom_site_fract_z
Rb1 0.000 0.000 0.000
Rb2 0.000 0.331 0.000
Ca1 0.000 0.167 0.500
Ta1 0.000 0.500 0.500
O1 0.202 0.356 0.674
O2 0.229 0.500 0.324
```

Entry 3:
# Li2InHg10

A geometry-optimized Li2InHg10 structure (GGA-PBE, Alexandria via LeMat-Bulk).

Summary:
Spin magnetization = 0.00 μB per atom
Crystal system = orthorhombic
Energy relative to the elements = -0.0765 eV per atom
Density = 10.8 g/cm3

```
data_Li2InHg10
_cell_length_a 6.407
_cell_length_b 13.764
_cell_length_c 14.919
_cell_angle_alpha 90.00
_cell_angle_beta 90.00
_cell_angle_gamma 90.00
_symmetry_space_group_name_H-M 'F m m m'
_symmetry_Int_Tables_number 69
_symmetry_space_group_name_Hall '-F 2 2'
loop_
_atom_site_label
_atom_site_fract_x
_atom_site_fract_y
_atom_site_fract_z
Li1 0.250 0.250 0.000
In1 0.000 0.000 0.000
Hg1 0.000 0.115 0.396
Hg2 0.000 0.164 0.145
Hg3 0.250 0.000 0.250
```